A plane-wave DFT calculation with GGA+U was carried out for crystalline Ba3BiMo2O9 at its relaxed geometry.

It has space group P-3m1 (No. 164), with a = 6.0350 Å, b = 6.0350 Å, c = 7.3910 Å, α = 90.00°, β = 90.00° and γ = 120.00°. The distinct sites, in fractional coordinates, are Ba at (0.0000, 0.0000, 0.0000), Ba at (0.3333, 0.6667, 0.6746), Bi at (0.0000, 0.0000, 0.5000), Mo at (0.3333, 0.6667, 0.1561), O at (0.0000, 0.5000, 0.0000) and O at (0.1763, 0.3525, 0.3103).

The crystal system is trigonal. The calculation puts the total magnetization at 3.00 μB/cell. The calculation puts the uncorrected energy at -99.9 eV per cell.